{"formula": "H3PbO", "functional": "PBE-GGA", "state": "relaxed", "magmom_total_mub_per_atom": 0.28, "energy_ev_per_cell": -14.6, "lattice_angstrom": [[-2.464, 2.824, -1.053], [-2.219, -2.620, -1.835], [-2.040, -0.561, 3.268]], "species": ["H", "H", "H", "Pb", "O"], "fractional_positions": [[0.500, 0.000, 0.000], [0.000, 0.000, 0.500], [0.000, 0.500, 0.000], [0.000, 0.000, 0.000], [0.500, 0.500, 0.500]]}